# Er6BiRu

A relaxed structure of Er6BiRu (PBE-GGA, the Alexandria database).

Properties
E_tot = -5.20 eV/atom
Crystal system = triclinic
Space group = P-1, No. 2
V = 261 Å³/f.u.
Total magnetic moment = 0.000 μB/atom

Lattice parameters (Å, degrees): 6.7631 6.7691 7.6484 63.77 63.82 60.03
Last column: nearest neighbours and their distance in Å.
Element x y z (fractional)
1 Er 0.5843 0.2228 0.2307  1 Ru 2.65
2 Bi 0.5000 0.5000 0.5000  6 Er 3.07
3 Ru 0.0000 0.0000 0.0000  6 Er 2.65
4 Er 0.0375 0.4159 0.7691  1 Ru 2.65
5 Er 0.2232 0.9628 0.2307  1 Ru 2.65
6 Er 0.9625 0.5841 0.2309  1 Ru 2.65
7 Er 0.7768 0.0372 0.7693  1 Ru 2.65
8 Er 0.4157 0.7772 0.7693  1 Ru 2.65

# Er2BiRu

A relaxed structure of Er2BiRu (PBE-GGA, the Alexandria database).

Properties
E_tot = -6.02 eV/atom
Crystal system = orthorhombic
Space group = Imma, No. 74
V = 97 Å³/f.u.
Total magnetic moment = 0.000 μB/atom

Lattice parameters (Å, degrees): 6.8224 8.3781 8.6588 118.94 113.21 89.99
Last column: nearest neighbours and their distance in Å.
Element x y z (fractional)
1 Ru 0.0060 0.7560 0.5119  4 Er 2.84-2.85, 1 Bi 3.08
2 Ru 0.9940 0.2440 0.4881  4 Er 2.84-2.85, 1 Bi 3.08
3 Bi 0.5268 0.2768 0.5536  8 Er 3.20-3.35, 1 Bi 3.41, 2 Ru 3.44
4 Er 0.8860 0.0764 0.7500  3 Ru 2.85-2.98
5 Bi 0.2213 0.4713 0.9425  1 Ru 3.08, 4 Er 3.26, 1 Bi 3.41
6 Er 0.1138 0.3265 0.2503  3 Ru 2.84-2.98
7 Er 0.1140 0.9236 0.2500  3 Ru 2.85-2.98
8 Bi 0.4732 0.7232 0.4464  8 Er 3.20-3.35, 1 Bi 3.41, 2 Ru 3.44
9 Ru 0.2503 0.0003 0.0006  8 Er 2.89-2.98
10 Er 0.3640 0.6736 0.7500  3 Ru 2.85-2.98
11 Er 0.3635 0.0761 0.7497  3 Ru 2.84-2.98
12 Er 0.6365 0.9239 0.2503  3 Ru 2.84-2.98
13 Ru 0.7497 0.9997 0.9994  8 Er 2.89-2.98
14 Er 0.8862 0.6735 0.7497  3 Ru 2.84-2.98
15 Bi 0.7787 0.5287 0.0575  1 Ru 3.08, 4 Er 3.26, 1 Bi 3.41
16 Er 0.6360 0.3264 0.2500  3 Ru 2.85-2.98

# Er3BiRu

A relaxed structure of Er3BiRu (PBE-GGA, the Alexandria database).

Properties
E_tot = -5.87 eV/atom
Crystal system = monoclinic
Space group = C2/m, No. 12
V = 133 Å³/f.u.
Total magnetic moment = 0.000 μB/atom

Lattice parameters (Å, degrees): 4.5219 6.2806 10.1628 98.01 90.00 111.10
Last column: nearest neighbours and their distance in Å.
Element x y z (fractional)
1 Er 0.8649 0.7298 0.3764  1 Ru 2.73
2 Ru 0.7661 0.5322 0.1155  6 Er 2.73-2.82
3 Ru 0.2339 0.4678 0.8845  6 Er 2.73-2.82
4 Er 0.1331 0.2661 0.1603  2 Ru 2.82
5 Bi 0.4104 0.8207 0.6174  8 Er 3.24-3.46, 1 Bi 3.41
6 Er 0.1351 0.2702 0.6236  1 Ru 2.73
7 Er 0.4015 0.8030 0.1116  3 Ru 2.77-2.80
8 Er 0.8669 0.7339 0.8397  2 Ru 2.82
9 Er 0.5985 0.1970 0.8884  3 Ru 2.77-2.80
10 Bi 0.5896 0.1793 0.3826  8 Er 3.24-3.46, 1 Bi 3.41

# Er3Bi5S12

A relaxed structure of Er3Bi5S12 (PBE-GGA, the Alexandria database).

Properties
E_tot = -4.91 eV/atom
Crystal system = cubic
Space group = Ia-3d, No. 230
V = 544 Å³/f.u.
Total magnetic moment = 0.000 μB/atom
Formation energy without anion corrections = -776 meV per atom

Lattice parameters (Å, degrees): 14.1403 14.1403 14.1403 109.47 109.47 109.47
Last column: nearest neighbours and their distance in Å.
Element x y z (fractional)
1 Bi 0.2500 0.3750 0.6250  4 S 2.66
2 S 0.4177 0.3592 0.5867  2 Bi 2.66-2.80, 1 Er 2.95
3 Bi 0.0000 0.0000 0.5000  6 S 2.80
4 S 0.4177 0.0585 0.3310  2 Bi 2.66-2.80, 1 Er 2.95
5 S 0.9177 0.8310 0.5585  2 Bi 2.66-2.80, 1 Er 2.95
6 S 0.3310 0.5585 0.4177  2 Bi 2.66-2.80, 1 Er 2.95
7 S 0.4133 0.2725 0.3310  2 Bi 2.66-2.80, 1 Er 2.95
8 Bi 0.7500 0.6250 0.3750  4 S 2.66
9 S 0.2275 0.5585 0.6408  2 Bi 2.66-2.80, 1 Er 2.95
10 S 0.0823 0.9133 0.1408  2 Bi 2.66-2.80, 1 Er 2.95
11 S 0.9133 0.8310 0.7725  2 Bi 2.66-2.80, 1 Er 2.95
12 Er 0.8750 0.7500 0.1250  8 S 2.95-3.00
13 S 0.2275 0.6690 0.0867  2 Bi 2.66-2.80, 1 Er 2.95
14 S 0.9177 0.0867 0.8592  2 Bi 2.66-2.80, 1 Er 2.95
15 Bi 0.0000 0.0000 0.0000  6 S 2.80
16 Bi 0.3750 0.2500 0.1250  4 S 2.66
17 Bi 0.6250 0.7500 0.8750  4 S 2.66
18 S 0.3310 0.7725 0.4133  2 Bi 2.66-2.80, 1 Er 2.95
19 S 0.4133 0.1408 0.5823  2 Bi 2.66-2.80, 1 Er 2.95
20 S 0.0585 0.4177 0.8310  2 Bi 2.66-2.80, 1 Er 2.95
21 Er 0.6250 0.3750 0.7500  8 S 2.95-3.00
22 Bi 0.5000 0.5000 0.0000  6 S 2.80
23 Er 0.2500 0.1250 0.3750  8 S 2.95-3.00
24 S 0.5585 0.3310 0.9177  2 Bi 2.66-2.80, 1 Er 2.95
25 S 0.6408 0.5823 0.9133  2 Bi 2.66-2.80, 1 Er 2.95
26 Bi 0.1250 0.7500 0.3750  4 S 2.66
27 S 0.0867 0.1690 0.2275  2 Bi 2.66-2.80, 1 Er 2.95
28 S 0.7725 0.3310 0.9133  2 Bi 2.66-2.80, 1 Er 2.95
29 S 0.6690 0.4415 0.5823  2 Bi 2.66-2.80, 1 Er 2.95
30 S 0.1408 0.4133 0.0823  2 Bi 2.66-2.80, 1 Er 2.95
31 S 0.1408 0.7275 0.5585  2 Bi 2.66-2.80, 1 Er 2.95
32 S 0.4415 0.6690 0.0823  2 Bi 2.66-2.80, 1 Er 2.95
33 S 0.5823 0.9415 0.6690  2 Bi 2.66-2.80, 1 Er 2.95
34 Bi 0.5000 0.5000 0.5000  6 S 2.80
35 Er 0.3750 0.6250 0.2500  8 S 2.95-3.00
36 S 0.8310 0.9133 0.2725  2 Bi 2.66-2.80, 1 Er 2.95
37 Bi 0.5000 0.0000 0.0000  6 S 2.80
38 S 0.2725 0.4133 0.8310  2 Bi 2.66-2.80, 1 Er 2.95
39 S 0.3592 0.4177 0.0867  2 Bi 2.66-2.80, 1 Er 2.95
40 S 0.6690 0.2275 0.5867  2 Bi 2.66-2.80, 1 Er 2.95
41 S 0.0867 0.9177 0.3592  2 Bi 2.66-2.80, 1 Er 2.95
42 Bi 0.0000 0.5000 0.5000  6 S 2.80
43 Bi 0.6250 0.8750 0.2500  4 S 2.66
44 S 0.5867 0.8592 0.4177  2 Bi 2.66-2.80, 1 Er 2.95
45 Er 0.1250 0.8750 0.7500  8 S 2.95-3.00
46 Bi 0.0000 0.5000 0.0000  6 S 2.80
47 S 0.0823 0.1690 0.4415  2 Bi 2.66-2.80, 1 Er 2.95
48 Er 0.2500 0.6250 0.8750  8 S 2.95-3.00
49 S 0.1690 0.0867 0.7275  2 Bi 2.66-2.80, 1 Er 2.95
50 S 0.7725 0.4415 0.3592  2 Bi 2.66-2.80, 1 Er 2.95
51 Er 0.3750 0.7500 0.6250  8 S 2.95-3.00
52 S 0.9415 0.5823 0.1690  2 Bi 2.66-2.80, 1 Er 2.95
53 Bi 0.1250 0.3750 0.2500  4 S 2.66
54 S 0.8592 0.5867 0.9177  2 Bi 2.66-2.80, 1 Er 2.95
55 S 0.5867 0.7275 0.6690  2 Bi 2.66-2.80, 1 Er 2.95
56 S 0.1690 0.0823 0.9415  2 Bi 2.66-2.80, 1 Er 2.95
57 S 0.0585 0.6408 0.7275  2 Bi 2.66-2.80, 1 Er 2.95
58 S 0.5585 0.2275 0.1408  2 Bi 2.66-2.80, 1 Er 2.95
59 S 0.9415 0.3592 0.2725  2 Bi 2.66-2.80, 1 Er 2.95
60 S 0.4415 0.7725 0.8592  2 Bi 2.66-2.80, 1 Er 2.95
61 S 0.2725 0.8592 0.9415  2 Bi 2.66-2.80, 1 Er 2.95
62 S 0.8592 0.2725 0.4415  2 Bi 2.66-2.80, 1 Er 2.95
63 Bi 0.8750 0.2500 0.6250  4 S 2.66
64 S 0.7275 0.1408 0.0585  2 Bi 2.66-2.80, 1 Er 2.95
65 S 0.6408 0.0585 0.2275  2 Bi 2.66-2.80, 1 Er 2.95
66 Bi 0.3750 0.1250 0.7500  4 S 2.66
67 Bi 0.5000 0.0000 0.5000  6 S 2.80
68 S 0.7275 0.5867 0.1690  2 Bi 2.66-2.80, 1 Er 2.95
69 Er 0.7500 0.8750 0.6250  8 S 2.95-3.00
70 Bi 0.7500 0.1250 0.8750  4 S 2.66
71 S 0.5823 0.6408 0.4133  2 Bi 2.66-2.80, 1 Er 2.95
72 S 0.8310 0.9177 0.0585  2 Bi 2.66-2.80, 1 Er 2.95
73 S 0.3592 0.9415 0.7725  2 Bi 2.66-2.80, 1 Er 2.95
74 Bi 0.2500 0.8750 0.1250  4 S 2.66
75 Er 0.6250 0.2500 0.3750  8 S 2.95-3.00
76 Er 0.7500 0.3750 0.1250  8 S 2.95-3.00
77 Er 0.8750 0.1250 0.2500  8 S 2.95-3.00
78 Er 0.1250 0.2500 0.8750  8 S 2.95-3.00
79 Bi 0.8750 0.6250 0.7500  4 S 2.66
80 S 0.9133 0.0823 0.6408  2 Bi 2.66-2.80, 1 Er 2.95

# Er6BiS4

A relaxed structure of Er6BiS4 (PBE-GGA, the Alexandria database).

Properties
E_tot = -5.91 eV/atom
Crystal system = orthorhombic
Space group = Cmcm, No. 63
V = 252 Å³/f.u.
Total magnetic moment = 0.000 μB/atom
Formation energy without anion corrections = -1569 meV per atom

Lattice parameters (Å, degrees): 3.9725 6.6750 19.9305 90.00 90.00 107.31
Last column: nearest neighbours and their distance in Å.
Element x y z (fractional)
1 S 0.1387 0.2774 0.4620  6 Er 2.69-2.78
2 Er 0.9603 0.9207 0.6573  3 S 2.69-2.71
3 S 0.5937 0.1873 0.8790  6 Er 2.66-2.72
4 S 0.5937 0.1873 0.6210  6 Er 2.66-2.72
5 Er 0.3515 0.7030 0.2500  2 S 2.66
6 Er 0.5000 0.0000 0.0000  6 S 2.69-2.76
7 Er 0.7713 0.5425 0.4144  5 S 2.72-2.78
8 Er 0.2287 0.4575 0.5856  5 S 2.72-2.78
9 Bi 0.6649 0.3299 0.2500  6 Er 3.10-3.15
10 Er 0.0397 0.0793 0.1573  3 S 2.69-2.71
11 Er 0.5000 0.0000 0.5000  6 S 2.69-2.76
12 Er 0.7713 0.5425 0.0856  5 S 2.72-2.78
13 Er 0.9603 0.9207 0.8427  3 S 2.69-2.71
14 S 0.4063 0.8127 0.3790  6 Er 2.66-2.72
15 S 0.1387 0.2774 0.0380  6 Er 2.69-2.78
16 Er 0.6485 0.2970 0.7500  2 S 2.66
17 Er 0.2287 0.4575 0.9144  5 S 2.72-2.78
18 S 0.8613 0.7226 0.9620  6 Er 2.69-2.78
19 S 0.4063 0.8127 0.1210  6 Er 2.66-2.72
20 Bi 0.3351 0.6701 0.7500  6 Er 3.10-3.15
21 Er 0.0397 0.0793 0.3427  3 S 2.69-2.71
22 S 0.8613 0.7226 0.5380  6 Er 2.69-2.78

# ErBiS

A relaxed structure of ErBiS (PBE-GGA, the Alexandria database).

Properties
E_tot = -5.30 eV/atom
Crystal system = tetragonal
Space group = I4mm, No. 107
V = 87 Å³/f.u.
Total magnetic moment = 0.000 μB/atom
Formation energy without anion corrections = -1106 meV per atom

Lattice parameters (Å, degrees): 3.4715 3.4715 7.6088 103.19 103.19 90.00
Last column: nearest neighbours and their distance in Å.
Element x y z (fractional)
1 Er 0.7013 0.7013 0.4025  4 S 2.69
2 Bi 0.0219 0.0219 0.0438  4 Bi 3.47, 4 Er 3.56, 1 S 3.67
3 S 0.2768 0.2768 0.5537  4 Er 2.69